NaCo2GeRh | PBE | relaxed

Results
The space-group type is No. 123. The crystal system is tetragonal. The formation enthalpy at 0 K comes out at 1795 meV/atom.

Cell: 4.229 4.649 4.229 Å, 90.00 90.00 90.00°
Site moments in Bohr magnetons follow the coordinates.
Element x y z (fractional)
Na: 0.000 0.000 0.000  -0.03
Rh: 0.500 0.500 0.500  -0.03
Ge: 0.000 0.500 0.000  -0.07
Co: 0.500 0.000 0.000  1.68
Co: 0.000 0.000 0.500  1.47